# 1
This record from the Alexandria database describes a relaxed Li5SbO5 crystal. The functional is GGA-PBEsol.

The structure in CIF format:
```
data_Li5SbO5
_symmetry_space_group_name_H-M 'C 1 2/m 1'
_symmetry_Int_Tables_number 12
_cell_length_a 9.6660
_cell_length_b 4.0250
_cell_length_c 5.7952
_cell_angle_alpha 90.00
_cell_angle_beta 108.89
_cell_angle_gamma 90.00
loop_
_symmetry_equiv_pos_as_xyz
'x,y,z'
'-x,-y,-z'
'-x,y,-z'
'x,-y,z'
'x+1/2,y+1/2,z'
'-x+1/2,-y+1/2,-z'
'-x+1/2,y+1/2,-z'
'x+1/2,-y+1/2,z'
loop_
_atom_site_label
_atom_site_type_symbol
_atom_site_fract_x
_atom_site_fract_y
_atom_site_fract_z
Li1 Li 0.0000 0.0000 0.0000
Li2 Li 0.1882 0.5000 0.3593
Li3 Li 0.2110 0.5000 0.8428
Sb1 Sb 0.0000 0.0000 0.5000
O1 O 0.0000 0.5000 0.5000
O2 O 0.1455 0.0000 0.3258
O3 O 0.1578 0.0000 0.8192
```

Properties
magnetization: 0.0 Bohr magnetons per cell
energy relative to the elements, uncorrected: -1.914 eV/atom


# 2
This record from the Alexandria database describes a relaxed Li2TlAs2 crystal. The functional is GGA-PBEsol.

The structure in CIF format:
```
data_Li2TlAs2
_symmetry_space_group_name_H-M 'I 4/m m m'
_symmetry_Int_Tables_number 139
_symmetry_space_group_name_Hall '-I 4 2'
_cell_length_a 4.4922
_cell_length_b 4.4922
_cell_length_c 10.1960
_cell_angle_alpha 90.00
_cell_angle_beta 90.00
_cell_angle_gamma 90.00
loop_
_atom_site_label
_atom_site_type_symbol
_atom_site_fract_x
_atom_site_fract_y
_atom_site_fract_z
Li1 Li 0.0000 0.5000 0.2500
Tl1 Tl 0.0000 0.0000 0.0000
As1 As 0.0000 0.0000 0.3847
```

Properties
magnetization: 0.0 Bohr magnetons per cell
ΔH_f (0 K): -314 meV/atom
relative energy among the computed polymorphs: 0 meV per atom


# 3
This record from the Alexandria database describes a relaxed LaHfFe2As crystal. The functional is GGA-PBEsol.

The structure in CIF format:
```
data_LaHfFe2As
_symmetry_space_group_name_H-M 'P 4/m m m'
_symmetry_Int_Tables_number 123
_symmetry_space_group_name_Hall '-P 4 2'
_cell_length_a 4.4923
_cell_length_b 4.4923
_cell_length_c 4.9964
_cell_angle_alpha 90.00
_cell_angle_beta 90.00
_cell_angle_gamma 90.00
loop_
_atom_site_label
_atom_site_type_symbol
_atom_site_fract_x
_atom_site_fract_y
_atom_site_fract_z
La1 La 0.0000 0.0000 0.0000
Hf1 Hf 0.5000 0.5000 0.0000
Fe1 Fe 0.0000 0.5000 0.5000
As1 As 0.5000 0.5000 0.5000
```

Properties
magnetization: 4.2 Bohr magnetons per cell
ΔH_f (0 K): 299 meV/atom


# 4
This record from the Alexandria database describes a relaxed B2RuAu crystal. The functional is GGA-PBEsol.

The structure in CIF format:
```
data_B2RuAu
_symmetry_space_group_name_H-M 'I -4 2 d'
_symmetry_Int_Tables_number 122
_symmetry_space_group_name_Hall 'I -4 2bw'
_cell_length_a 4.8190
_cell_length_b 4.8190
_cell_length_c 9.3266
_cell_angle_alpha 90.00
_cell_angle_beta 90.00
_cell_angle_gamma 90.00
loop_
_atom_site_label
_atom_site_type_symbol
_atom_site_fract_x
_atom_site_fract_y
_atom_site_fract_z
B1 B 0.2240 0.2500 0.1250
Ru1 Ru 0.0000 0.0000 0.0000
Au1 Au 0.0000 0.0000 0.5000
```

Properties
magnetization: 0.0 Bohr magnetons per cell
ΔH_f (0 K): 563 meV/atom
relative energy among the computed polymorphs: 0 meV per atom


# 5
This record from the Alexandria database describes a relaxed CdOs2Br crystal. The functional is GGA-PBEsol.

The structure in CIF format:
```
data_CdOs2Br
_symmetry_space_group_name_H-M 'C 1 2/m 1'
_symmetry_Int_Tables_number 12
_cell_length_a 5.4650
_cell_length_b 9.8104
_cell_length_c 2.9390
_cell_angle_alpha 90.00
_cell_angle_beta 121.28
_cell_angle_gamma 90.00
loop_
_symmetry_equiv_pos_as_xyz
'x,y,z'
'-x,-y,-z'
'-x,y,-z'
'x,-y,z'
'x+1/2,y+1/2,z'
'-x+1/2,-y+1/2,-z'
'-x+1/2,y+1/2,-z'
'x+1/2,-y+1/2,z'
loop_
_atom_site_label
_atom_site_type_symbol
_atom_site_fract_x
_atom_site_fract_y
_atom_site_fract_z
Cd1 Cd 0.0000 0.0000 0.0000
Os1 Os 0.2500 0.2500 0.5000
Br1 Br 0.0000 0.5000 0.0000
```

Properties
magnetization: 0.0 Bohr magnetons per cell
energy relative to the elements, uncorrected: 1.185 eV/atom
relative energy among the computed polymorphs: 663 meV per atom


# 6
This record from the Alexandria database describes a relaxed LiInHg2 crystal. The functional is GGA-PBEsol.

The structure in CIF format:
```
data_LiInHg2
_symmetry_space_group_name_H-M 'P 4/m m m'
_symmetry_Int_Tables_number 123
_symmetry_space_group_name_Hall '-P 4 2'
_cell_length_a 3.4894
_cell_length_b 3.4894
_cell_length_c 6.8477
_cell_angle_alpha 90.00
_cell_angle_beta 90.00
_cell_angle_gamma 90.00
loop_
_atom_site_label
_atom_site_type_symbol
_atom_site_fract_x
_atom_site_fract_y
_atom_site_fract_z
Li1 Li 0.0000 0.0000 0.0000
In1 In 0.0000 0.0000 0.5000
Hg1 Hg 0.5000 0.5000 0.2198
```

Properties
magnetization: 0.0 Bohr magnetons per cell
ΔH_f (0 K): -249 meV/atom